[1]
! Ce3Tl4S8 | Alexandria via LeMat-Bulk | GGA-PBE | optimized geometry; values from VASP
&SYSTEM
  ibrav = 0, nat = 15, ntyp = 3
/
ATOMIC_SPECIES
Ce 140.12 Ce.upf
Tl 204.38 Tl.upf
S 32.06 S.upf
CELL_PARAMETERS angstrom
-5.641 2.301 -5.769
-8.199 -0.780 1.604
-4.716 7.684 1.575
ATOMIC_POSITIONS angstrom
Ce -5.179 4.992 -2.097
Ce -2.358 3.842 0.787
Ce -6.457 3.452 1.589
Tl 0.000 0.000 0.000
Tl -9.321 7.634 -0.044
Tl -9.278 4.602 -1.295
Tl -9.234 1.571 -2.546
S -4.646 2.825 -0.431
S -8.691 2.236 0.553
S -11.803 3.505 -2.629
S -7.280 3.936 -3.514
S -13.909 6.380 -2.159
S -9.865 6.969 -3.143
S -6.753 5.700 0.039
S -11.275 5.269 0.924
! Uncorrected energy (eV/atom): -5.20
! Spin magnetization (μB/f.u.): 0.44
! Formation energy from raw total energies (eV/f.u.): -17.7
! Space group: R-3m, No. 166



[2]
! U2PaAl | Alexandria via LeMat-Bulk | GGA-PBE | optimized geometry; values from VASP
&SYSTEM
  ibrav = 0, nat = 4, ntyp = 3
/
ATOMIC_SPECIES
Pa 231.04 Pa.upf
U 238.03 U.upf
Al 26.98 Al.upf
CELL_PARAMETERS angstrom
3.733 0.000 0.000
1.866 3.233 0.000
1.866 1.078 9.120
ATOMIC_POSITIONS angstrom
Pa 3.733 2.155 4.560
U 1.866 1.078 6.099
U 5.599 3.233 3.021
Al 0.000 0.000 0.000
! Uncorrected energy (eV/atom): -7.86
! Spin magnetization (μB/f.u.): 0.00
! Space group: R-3m, No. 166
! Polymorph energy (0 for the lowest one) (meV per atom): 1061
! Energy of formation from the pure elements (meV per atom): 1089



[3]
! SnH4Cl2O2 | Alexandria via LeMat-Bulk | GGA-PBE | optimized geometry; values from VASP
&SYSTEM
  ibrav = 0, nat = 36, ntyp = 4
/
ATOMIC_SPECIES
Sn 118.71 Sn.upf
H 1.01 H.upf
Cl 35.45 Cl.upf
O 16.00 O.upf
CELL_PARAMETERS angstrom
-0.142 0.641 7.160
-4.819 -7.588 0.584
5.114 -8.071 0.824
ATOMIC_POSITIONS angstrom
Sn -2.825 -9.849 6.292
Sn 0.566 -8.954 2.669
Sn 2.978 -5.169 2.275
Sn -0.413 -6.064 5.898
H -0.025 -1.181 3.888
H 2.652 -10.333 1.150
H 0.178 -13.837 4.679
H -2.499 -4.685 7.417
H 0.078 -0.108 5.045
H 2.499 -11.184 2.474
H 0.075 -14.910 3.522
H -2.346 -3.834 6.093
H 1.152 -13.603 6.718
H -3.411 -5.197 2.266
H -0.999 -1.415 1.849
H 3.564 -9.821 6.301
H -0.414 -13.775 6.948
H -1.854 -4.982 2.523
H 0.567 -1.243 1.619
H 2.007 -10.036 6.044
Cl -2.624 -7.849 7.858
Cl 0.297 -10.645 4.557
Cl 2.777 -7.169 0.709
Cl -0.144 -4.373 4.010
Cl 0.696 -4.048 0.402
Cl 1.936 -7.492 4.345
Cl -0.543 -10.970 8.165
Cl -1.783 -7.526 4.222
O 0.010 -1.102 4.892
O 2.577 -10.232 2.150
O 0.143 -13.916 3.675
O -2.424 -4.786 6.417
O 0.333 -14.052 6.370
O -2.578 -4.814 1.876
O -0.180 -0.966 2.197
O 2.730 -10.204 6.691
! Uncorrected energy (eV/atom): -4.49
! Spin magnetization (μB/f.u.): 0.00
! Space group: P2_1/c, No. 14



[4]
! Sc2InCu | Alexandria via LeMat-Bulk | GGA-PBE | optimized geometry; values from VASP
&SYSTEM
  ibrav = 0, nat = 4, ntyp = 3
/
ATOMIC_SPECIES
Cu 63.55 Cu.upf
In 114.82 In.upf
Sc 44.96 Sc.upf
CELL_PARAMETERS angstrom
3.203 0.000 0.000
0.000 3.203 0.000
0.000 0.000 8.029
ATOMIC_POSITIONS angstrom
Cu 0.000 0.000 4.027
In 1.601 1.601 5.715
Sc 0.000 0.000 7.968
Sc 1.601 1.601 2.363
! Uncorrected energy (eV/atom): -5.06
! Spin magnetization (μB/f.u.): 0.61
! Space group: P4mm, No. 99
! Energy of formation from the pure elements (meV per atom): -181



[5]
! Pr2SmSn9 | Alexandria via LeMat-Bulk | GGA-PBE | optimized geometry; values from VASP
&SYSTEM
  ibrav = 0, nat = 12, ntyp = 3
/
ATOMIC_SPECIES
Pr 140.91 Pr.upf
Sm 150.36 Sm.upf
Sn 118.71 Sn.upf
CELL_PARAMETERS angstrom
4.763 0.000 0.000
0.000 4.763 0.000
0.000 0.000 14.438
ATOMIC_POSITIONS angstrom
Pr 0.000 0.000 4.793
Pr 0.000 0.000 9.645
Sm 0.000 0.000 0.000
Sn 2.382 2.382 0.000
Sn 2.382 2.382 4.794
Sn 2.382 2.382 9.644
Sn 2.382 0.000 2.370
Sn 2.382 0.000 7.219
Sn 2.382 0.000 12.068
Sn 0.000 2.382 2.370
Sn 0.000 2.382 7.219
Sn 0.000 2.382 12.068
! Uncorrected energy (eV/atom): -4.69
! Spin magnetization (μB/f.u.): 0.00
! Space group: P4/mmm, No. 123
! Energy of formation from the pure elements (meV per atom): -495



[6]
! Tb12Ho7Tm | Alexandria via LeMat-Bulk | GGA-PBE | optimized geometry; values from VASP
&SYSTEM
  ibrav = 0, nat = 20, ntyp = 3
/
ATOMIC_SPECIES
Tb 158.93 Tb.upf
Ho 164.93 Ho.upf
Tm 168.93 Tm.upf
CELL_PARAMETERS angstrom
-2.290 -4.534 -4.286
3.832 -6.295 8.048
-7.499 -5.154 6.023
ATOMIC_POSITIONS angstrom
Tb -0.328 -6.644 1.102
Tb -0.950 -9.613 9.908
Tb -1.423 -3.710 1.750
Tb -1.296 -9.431 6.734
Tb -3.557 -9.495 4.306
Tb -6.417 -10.923 4.176
Tb 0.460 -5.061 5.608
Tb -2.399 -6.488 5.478
Tb -4.660 -6.552 3.051
Tb -4.534 -12.274 8.035
Tb -5.007 -6.371 -0.123
Tb -5.629 -9.339 8.683
Ho -2.231 -5.328 -1.229
Ho 0.862 -7.297 8.444
Ho -5.970 -7.915 5.878
Ho -1.145 -2.267 -2.143
Ho 0.013 -8.069 3.907
Ho -6.819 -8.687 1.340
Ho -3.725 -10.656 11.013
Tm 0.000 0.000 0.000
! Uncorrected energy (eV/atom): -4.28
! Spin magnetization (μB/f.u.): 0.00
! Space group: R-3, No. 148
! Polymorph energy (0 for the lowest one) (meV per atom): 26
! Energy of formation from the pure elements (meV per atom): 319



[7]
! KBa2SnSe4 | Alexandria via LeMat-Bulk | GGA-PBE | optimized geometry; values from VASP
&SYSTEM
  ibrav = 0, nat = 16, ntyp = 4
/
ATOMIC_SPECIES
K 39.10 K.upf
Ba 137.33 Ba.upf
Sn 118.71 Sn.upf
Se 78.96 Se.upf
CELL_PARAMETERS angstrom
9.081 0.080 -0.033
0.073 9.081 -0.033
-4.543 -4.546 6.510
ATOMIC_POSITIONS angstrom
K 0.037 4.541 -0.016
K 6.847 2.348 3.206
Ba 4.541 0.040 -0.016
Ba 2.269 -2.233 3.239
Ba -2.271 -2.273 3.255
Ba 4.577 4.581 -0.033
Sn 2.306 2.308 3.223
Sn 4.539 -4.466 6.478
Se 2.137 7.033 -0.023
Se 4.355 0.245 3.213
Se 0.257 4.370 3.232
Se 2.475 -2.418 6.468
Se 2.425 2.405 6.330
Se 4.515 4.496 3.337
Se 0.097 0.120 3.108
Se 2.187 2.211 0.115
! Uncorrected energy (eV/atom): -4.12
! Spin magnetization (μB/f.u.): 0.00
! Formation energy from raw total energies (eV/f.u.): -10.1
! Space group: Imma, No. 74



[8]
! La5Sc | Alexandria via LeMat-Bulk | GGA-PBE | optimized geometry; values from VASP
&SYSTEM
  ibrav = 0, nat = 6, ntyp = 2
/
ATOMIC_SPECIES
La 138.91 La.upf
Sc 44.96 Sc.upf
CELL_PARAMETERS angstrom
-6.009 -1.983 1.132
4.981 -3.585 1.911
0.044 2.801 5.138
ATOMIC_POSITIONS angstrom
La -1.007 -5.458 2.984
La -2.248 -2.587 1.429
La 1.200 -3.090 1.674
La -1.981 0.739 2.947
La 1.682 0.205 3.206
Sc -0.663 -2.311 4.598
! Uncorrected energy (eV/atom): -5.11
! Spin magnetization (μB/f.u.): 0.00
! Space group: P-62m, No. 189
! Polymorph energy (0 for the lowest one) (meV per atom): 15
! Energy of formation from the pure elements (meV per atom): 52